--- A ---
DFT (PBE-GGA) results for an optimized crystal structure of RbTiH2.

Unit cell a=4.5885 b=4.5885 c=4.5885 alpha=60.00 beta=60.00 gamma=60.00
With the nearest neighbours (Å) after each atom.
Fractional positions:
1 H 0.2500 0.2500 0.2500  4 Rb 2.81, 4 Ti 2.81
2 H 0.7500 0.7500 0.7500  4 Rb 2.81, 4 Ti 2.81
3 Rb 0.5000 0.5000 0.5000  8 H 2.81
4 Ti 0.0000 0.0000 0.0000  8 H 2.81

Properties
Density of states at the Fermi level   3.31 states/eV/f.u.
Symmetry   Fm-3m

=====

--- B ---
DFT (PBE-GGA) results for an optimized crystal structure of RbTiH2.

Unit cell a=5.9022 b=5.9022 c=5.8327 alpha=59.61 beta=59.61 gamma=90.00
With the nearest neighbours (Å) after each atom.
Fractional positions:
1 H 0.4995 0.1250 0.2500  2 Ti 1.94
2 H 0.2505 0.6250 0.2500  2 Ti 1.94
3 H 0.3750 0.5005 0.7500  2 Ti 1.94
4 H 0.8750 0.7495 0.7500  2 Ti 1.94
5 Rb 0.0000 0.0000 0.0000  4 H 2.85
6 Rb 0.7500 0.2500 0.5000  4 H 2.85
7 Ti 0.5000 0.5000 0.0000  4 H 1.94
8 Ti 0.2500 0.7500 0.5000  4 H 1.94

Properties
Density of states at the Fermi level   2.81 states/eV/f.u.
Symmetry   I-42d

=====

What is the stability order? It is B, A, from most stable to least stable.

=====

--- A ---
DFT (PBE-GGA) results for an optimized crystal structure of Rb2TlH.

Unit cell a=6.1244 b=6.1244 c=6.1244 alpha=60.00 beta=60.00 gamma=60.00
With the nearest neighbours (Å) after each atom.
Fractional positions:
1 H 0.0000 0.0000 0.0000  8 Rb 3.75
2 Tl 0.5000 0.5000 0.5000  8 Rb 3.75
3 Rb 0.2500 0.2500 0.2500  4 Tl 3.75, 4 H 3.75
4 Rb 0.7500 0.7500 0.7500  4 Tl 3.75, 4 H 3.75

Properties
Density of states at the Fermi level   5.07 states/eV/f.u.
Symmetry   Fm-3m

=====

--- B ---
DFT (PBE-GGA) results for an optimized crystal structure of Rb2TlH.

Unit cell a=3.9975 b=3.9975 c=11.0952 alpha=79.62 beta=79.62 gamma=60.00
With the nearest neighbours (Å) after each atom.
Fractional positions:
1 H 0.5000 0.5000 0.5000  6 Rb 2.92
2 Tl 0.0000 0.0000 0.0000  2 Rb 3.63, 6 Tl 4.00
3 Rb 0.1115 0.1115 0.6655  3 H 2.92
4 Rb 0.8885 0.8885 0.3345  3 H 2.92

Properties
Density of states at the Fermi level   1.56 states/eV/f.u.
Symmetry   R-3m

=====

What is the stability order? It is B, A, from most stable to least stable.

=====

--- A ---
DFT (PBE-GGA) results for an optimized crystal structure of Rb2TlH.

Unit cell a=8.5042 b=8.5042 c=7.5690 alpha=55.82 beta=55.82 gamma=90.00
With the nearest neighbours (Å) after each atom.
Fractional positions:
1 H 0.5000 0.5000 0.0000  4 Rb 2.71
2 H 0.2500 0.7500 0.5000  4 Rb 2.71
3 Tl 0.0000 0.0000 0.0000  8 Rb 3.88-4.23
4 Tl 0.7500 0.2500 0.5000  8 Rb 3.88-4.23
5 Rb 0.5179 0.1250 0.2500  2 H 2.71
6 Rb 0.2321 0.6250 0.2500  2 H 2.71
7 Rb 0.3750 0.4821 0.7500  2 H 2.71
8 Rb 0.8750 0.7679 0.7500  2 H 2.71

Properties
Density of states at the Fermi level   0.35 states/eV/f.u.
Symmetry   I-42d

=====

--- B ---
DFT (PBE-GGA) results for an optimized crystal structure of Rb2TlH.

Unit cell a=3.6997 b=3.6997 c=9.5775 alpha=90.00 beta=90.00 gamma=90.00
With the nearest neighbours (Å) after each atom.
Fractional positions:
1 H 0.5000 0.5000 0.0000  8 Rb 3.16
2 Tl 0.5000 0.5000 0.5000  4 Tl 3.70, 8 Rb 3.99
3 Rb 0.0000 0.0000 0.8144  4 H 3.16
4 Rb 0.0000 0.0000 0.1856  4 H 3.16

Properties
Density of states at the Fermi level   1.79 states/eV/f.u.
Symmetry   P4/mmm

=====

What is the stability order? It is B, A, from most stable to least stable.

=====

--- A ---
DFT (PBE-GGA) results for an optimized crystal structure of RbTlH.

Unit cell a=4.0347 b=4.0347 c=10.3934 alpha=90.00 beta=90.00 gamma=90.00
With the nearest neighbours (Å) after each atom.
Fractional positions:
1 Rb 0.0000 0.5000 0.6490  5 H 2.85-3.02
2 Rb 0.5000 0.0000 0.3510  5 H 2.85-3.02
3 Tl 0.0000 0.5000 0.0897  1 H 2.79
4 Tl 0.5000 0.0000 0.9103  1 H 2.79
5 H 0.0000 0.5000 0.3582  1 Tl 2.79, 5 Rb 2.85-3.02
6 H 0.5000 0.0000 0.6418  1 Tl 2.79, 5 Rb 2.85-3.02

Properties
Density of states at the Fermi level   1.32 states/eV/f.u.
Symmetry   P4/nmm

=====

--- B ---
DFT (PBE-GGA) results for an optimized crystal structure of RbTlH.

Unit cell a=4.2549 b=3.9626 c=5.3547 alpha=90.00 beta=90.00 gamma=90.00
With the nearest neighbours (Å) after each atom.
Fractional positions:
1 Rb 0.0000 0.5000 0.3962  2 H 2.76
2 Tl 0.5000 0.0000 0.9300  2 H 2.26
3 H 0.5000 0.5000 0.7254  2 Tl 2.26

Properties
Density of states at the Fermi level   1.66 states/eV/f.u.
Symmetry   Pmm2

=====

What is the stability order? It is A, B, from most stable to least stable.

=====

--- A ---
DFT (PBE-GGA) results for an optimized crystal structure of RbTlH.

Unit cell a=6.2164 b=3.9518 c=3.9518 alpha=120.00 beta=90.00 gamma=90.00
With the nearest neighbours (Å) after each atom.
Fractional positions:
1 H 0.0183 0.0000 0.0000  3 Tl 2.65, 3 Rb 2.84
2 Tl 0.2358 0.3333 0.6667  3 H 2.65
3 Rb 0.7459 0.6667 0.3333  3 H 2.84

Properties
Density of states at the Fermi level   2.59 states/eV/f.u.
Symmetry   P3m1

=====

--- B ---
DFT (PBE-GGA) results for an optimized crystal structure of RbTlH.

Unit cell a=3.7468 b=5.9024 c=3.7501 alpha=90.00 beta=90.18 gamma=90.00
With the nearest neighbours (Å) after each atom.
Fractional positions:
1 Rb 0.0000 0.7801 0.5000  4 H 2.83-2.84
2 Tl 0.5000 0.2643 0.0000  1 H 2.04
3 H 0.5000 0.6106 0.0000  1 Tl 2.04

Properties
Density of states at the Fermi level   1.13 states/eV/f.u.
Symmetry   Cmm2

=====

What is the stability order? It is B, A, from most stable to least stable.

=====

--- A ---
DFT (PBE-GGA) results for an optimized crystal structure of RbV2H.

Unit cell a=5.0850 b=5.0850 c=5.0850 alpha=60.00 beta=60.00 gamma=60.00
With the nearest neighbours (Å) after each atom.
Fractional positions:
1 H 0.0000 0.0000 0.0000  8 V 3.11
2 Rb 0.5000 0.5000 0.5000  8 V 3.11
3 V 0.2500 0.2500 0.2500  4 Rb 3.11, 4 H 3.11
4 V 0.7500 0.7500 0.7500  4 Rb 3.11, 4 H 3.11

Properties
Density of states at the Fermi level   9.64 states/eV/f.u.
Symmetry   Fm-3m

=====

--- B ---
DFT (PBE-GGA) results for an optimized crystal structure of RbV2H.

Unit cell a=6.1043 b=6.1043 c=6.1225 alpha=60.10 beta=60.10 gamma=90.00
With the nearest neighbours (Å) after each atom.
Fractional positions:
1 H 0.5000 0.5000 0.0000  4 V 1.87
2 H 0.2500 0.7500 0.5000  4 V 1.87
3 Rb 0.0000 0.0000 0.0000  12 V 3.58-3.60, 4 H 3.75, 4 Rb 3.75
4 Rb 0.7500 0.2500 0.5000  12 V 3.58-3.60, 4 H 3.75, 4 Rb 3.75
5 V 0.3748 0.1250 0.2500  2 H 1.87
6 V 0.3752 0.6250 0.2500  2 H 1.87
7 V 0.3750 0.6252 0.7500  2 H 1.87
8 V 0.8750 0.6248 0.7500  2 H 1.87

Properties
Density of states at the Fermi level   5.85 states/eV/f.u.
Symmetry   I4_1/amd

=====

What is the stability order? It is B, A, from most stable to least stable.

=====

--- A ---
DFT (PBE-GGA) results for an optimized crystal structure of Rb2HW.

Unit cell a=12.7354 b=12.7354 c=9.2004 alpha=46.20 beta=46.20 gamma=90.00
With the nearest neighbours (Å) after each atom.
Fractional positions:
1 H 0.5000 0.5000 0.0000  2 W 1.88
2 H 0.2500 0.7500 0.5000  2 W 1.88
3 Rb 0.4392 0.1250 0.2500  2 H 3.32, 2 W 3.58
4 Rb 0.3108 0.6250 0.2500  2 H 3.32, 2 W 3.58
5 Rb 0.3750 0.5608 0.7500  2 H 3.32, 2 W 3.58
6 Rb 0.8750 0.6892 0.7500  2 H 3.32, 2 W 3.58
7 W 0.0000 0.0000 0.0000  2 H 1.88
8 W 0.7500 0.2500 0.5000  2 H 1.88

Properties
Density of states at the Fermi level   2.96 states/eV/f.u.
Symmetry   I-42d

=====

--- B ---
DFT (PBE-GGA) results for an optimized crystal structure of Rb2HW.

Unit cell a=6.0170 b=6.0170 c=6.0170 alpha=60.00 beta=60.00 gamma=60.00
With the nearest neighbours (Å) after each atom.
Fractional positions:
1 H 0.0000 0.0000 0.0000  8 Rb 3.68
2 Rb 0.2500 0.2500 0.2500  4 H 3.68, 4 W 3.68
3 Rb 0.7500 0.7500 0.7500  4 W 3.68, 4 H 3.68
4 W 0.5000 0.5000 0.5000  8 Rb 3.68

Properties
Density of states at the Fermi level   0.03 states/eV/f.u.
Symmetry   Fm-3m

=====

What is the stability order? It is A, B, from most stable to least stable.

=====

--- A ---
DFT (PBE-GGA) results for an optimized crystal structure of RbH2W.

Unit cell a=5.5837 b=5.5837 c=5.4933 alpha=59.45 beta=59.45 gamma=90.00
With the nearest neighbours (Å) after each atom.
Fractional positions:
1 H 0.7435 0.1250 0.2500  2 W 1.84
2 H 0.0065 0.6250 0.2500  2 W 1.84
3 H 0.3750 0.2565 0.7500  2 W 1.84
4 H 0.8750 0.9935 0.7500  2 W 1.84
5 Rb 0.5000 0.5000 0.0000  4 H 2.66
6 Rb 0.2500 0.7500 0.5000  4 H 2.66
7 W 0.0000 0.0000 0.0000  4 H 1.84
8 W 0.7500 0.2500 0.5000  4 H 1.84

Properties
Density of states at the Fermi level   3.61 states/eV/f.u.
Symmetry   I-42d

=====

--- B ---
DFT (PBE-GGA) results for an optimized crystal structure of RbH2W.

Unit cell a=4.6360 b=4.6360 c=4.6360 alpha=60.00 beta=60.00 gamma=60.00
With the nearest neighbours (Å) after each atom.
Fractional positions:
1 H 0.2500 0.2500 0.2500  4 W 2.84, 4 Rb 2.84
2 H 0.7500 0.7500 0.7500  4 Rb 2.84, 4 W 2.84
3 Rb 0.0000 0.0000 0.0000  8 H 2.84
4 W 0.5000 0.5000 0.5000  8 H 2.84

Properties
Density of states at the Fermi level   0.89 states/eV/f.u.
Symmetry   Fm-3m

=====

What is the stability order? It is A, B, from most stable to least stable.

=====

--- A ---
DFT (PBE-GGA) results for an optimized crystal structure of RbH3W.

Unit cell a=4.0233 b=4.0233 c=4.0233 alpha=90.00 beta=90.00 gamma=90.00
With the nearest neighbours (Å) after each atom.
Fractional positions:
1 H 0.0000 0.5000 0.0000  2 W 2.01
2 H 0.0000 0.0000 0.5000  2 W 2.01
3 H 0.5000 0.0000 0.0000  2 W 2.01
4 Rb 0.5000 0.5000 0.5000  12 H 2.84
5 W 0.0000 0.0000 0.0000  6 H 2.01

Properties
Density of states at the Fermi level   1.26 states/eV/f.u.
Symmetry   Pm-3m

=====

--- B ---
DFT (PBE-GGA) results for an optimized crystal structure of RbH3W.

Unit cell a=4.5297 b=4.5297 c=4.5297 alpha=90.00 beta=90.00 gamma=90.00
With the nearest neighbours (Å) after each atom.
Fractional positions:
1 H 0.0000 0.5000 0.0000  2 Rb 2.26
2 H 0.0000 0.0000 0.5000  2 Rb 2.26
3 H 0.5000 0.0000 0.0000  2 Rb 2.26
4 Rb 0.0000 0.0000 0.0000  6 H 2.26
5 W 0.5000 0.5000 0.5000  12 H 3.20

Properties
Density of states at the Fermi level   3.46 states/eV/f.u.
Symmetry   Pm-3m

=====

What is the stability order? It is A, B, from most stable to least stable.

=====

--- A ---
DFT (PBE-GGA) results for an optimized crystal structure of RbYH2.

Unit cell a=6.0554 b=6.0554 c=6.9790 alpha=64.29 beta=64.29 gamma=90.00
With the nearest neighbours (Å) after each atom.
Fractional positions:
1 Y 0.0000 0.0000 0.0000  4 H 2.09
2 Y 0.7500 0.2500 0.5000  4 H 2.09
3 H 0.8072 0.1250 0.2500  2 Y 2.09
4 H 0.9428 0.6250 0.2500  2 Y 2.09
5 H 0.3750 0.1928 0.7500  2 Y 2.09
6 H 0.8750 0.0572 0.7500  2 Y 2.09
7 Rb 0.5000 0.5000 0.0000  4 H 3.32
8 Rb 0.2500 0.7500 0.5000  4 H 3.32

Properties
Density of states at the Fermi level   0.26 states/eV/f.u.
Symmetry   I-42d

=====

--- B ---
DFT (PBE-GGA) results for an optimized crystal structure of RbYH2.

Unit cell a=4.7409 b=4.7409 c=4.7409 alpha=60.00 beta=60.00 gamma=60.00
With the nearest neighbours (Å) after each atom.
Fractional positions:
1 Y 0.5000 0.5000 0.5000  8 H 2.90
2 H 0.2500 0.2500 0.2500  4 Rb 2.90, 4 Y 2.90
3 H 0.7500 0.7500 0.7500  4 Y 2.90, 4 Rb 2.90
4 Rb 0.0000 0.0000 0.0000  8 H 2.90

Properties
Density of states at the Fermi level   3.54 states/eV/f.u.
Symmetry   Fm-3m

=====

What is the stability order? It is A, B, from most stable to least stable.

=====

--- A ---
DFT (PBE-GGA) results for an optimized crystal structure of RbZnH3.

Unit cell a=3.2465 b=7.1251 c=7.1537 alpha=90.00 beta=90.03 gamma=90.00
With the nearest neighbours (Å) after each atom.
Fractional positions:
1 Rb 0.2500 0.2500 0.7017  4 H 2.72
2 Rb 0.7500 0.7500 0.2983  4 H 2.72
3 Zn 0.2493 0.2500 0.2056  2 H 1.62
4 Zn 0.7507 0.7500 0.7944  2 H 1.62
5 H 0.2501 0.0556 0.3218  1 Zn 1.62
6 H 0.7499 0.9444 0.6782  1 Zn 1.62
7 H 0.7499 0.5556 0.6782  1 Zn 1.62
8 H 0.2501 0.4444 0.3218  1 Zn 1.62
9 H 0.7498 0.2500 0.0747  2 Zn 1.87-1.88
10 H 0.2502 0.7500 0.9253  2 Zn 1.87-1.88

Properties
Density of states at the Fermi level   0.00 states/eV/f.u.
Symmetry   Pmmn

=====

--- B ---
DFT (PBE-GGA) results for an optimized crystal structure of RbZnH3.

Unit cell a=5.1604 b=6.5739 c=11.4455 alpha=114.49 beta=90.00 gamma=90.00
With the nearest neighbours (Å) after each atom.
Fractional positions:
1 Rb 0.7419 0.2775 0.8213  8 H 2.90-3.21
2 Rb 0.2581 0.7225 0.1787  8 H 2.90-3.21
3 Rb 0.2419 0.7225 0.6787  8 H 2.90-3.21
4 Rb 0.7581 0.2775 0.3213  8 H 2.90-3.21
5 Zn 0.3218 0.1460 0.5375  3 H 1.61-1.73
6 Zn 0.6782 0.8540 0.4625  3 H 1.61-1.73
7 Zn 0.8218 0.8540 0.9625  3 H 1.61-1.73
8 Zn 0.1782 0.1460 0.0375  3 H 1.61-1.73
9 H 0.2352 0.2406 0.6863  1 Zn 1.61
10 H 0.7648 0.7594 0.3137  1 Zn 1.61
11 H 0.7352 0.7594 0.8137  1 Zn 1.61
12 H 0.2648 0.2406 0.1863  1 Zn 1.61
13 H 0.6750 0.1424 0.5390  2 Zn 1.73-1.82
14 H 0.3250 0.8576 0.4610  2 Zn 1.73-1.82
15 H 0.1750 0.8576 0.9610  2 Zn 1.73-1.82
16 H 0.8250 0.1424 0.0390  2 Zn 1.73-1.82
17 H 0.2436 0.2685 0.4464  1 Zn 1.61
18 H 0.7564 0.7315 0.5536  1 Zn 1.61
19 H 0.7436 0.7315 0.0536  1 Zn 1.61
20 H 0.2564 0.2685 0.9464  1 Zn 1.61

Properties
Density of states at the Fermi level   0.00 states/eV/f.u.
Symmetry   P2_1/c

=====

--- C ---
DFT (PBE-GGA) results for an optimized crystal structure of RbZnH3.

Unit cell a=5.1449 b=5.1449 c=5.1449 alpha=90.00 beta=90.00 gamma=90.00
With the nearest neighbours (Å) after each atom.
Fractional positions:
1 H 0.0000 0.5000 0.0000  2 Rb 2.57
2 H 0.0000 0.0000 0.5000  2 Rb 2.57
3 H 0.5000 0.0000 0.0000  2 Rb 2.57
4 Zn 0.5000 0.5000 0.5000  12 H 3.64
5 Rb 0.0000 0.0000 0.0000  6 H 2.57

Properties
Density of states at the Fermi level   2.04 states/eV/f.u.
Symmetry   Pm-3m

=====

--- D ---
DFT (PBE-GGA) results for an optimized crystal structure of RbZnH3.

Unit cell a=3.9519 b=3.9519 c=3.9519 alpha=90.00 beta=90.00 gamma=90.00
With the nearest neighbours (Å) after each atom.
Fractional positions:
1 H 0.0000 0.5000 0.0000  2 Zn 1.98
2 H 0.0000 0.0000 0.5000  2 Zn 1.98
3 H 0.5000 0.0000 0.0000  2 Zn 1.98
4 Zn 0.0000 0.0000 0.0000  6 H 1.98
5 Rb 0.5000 0.5000 0.5000  12 H 2.79

Properties
Density of states at the Fermi level   0.19 states/eV/f.u.
Symmetry   Pm-3m

=====

What is the stability order? It is B, A, D, C, from most stable to least stable.

=====

--- A ---
DFT (PBE-GGA) results for an optimized crystal structure of Rb2ZrH.

Unit cell a=6.3950 b=6.3950 c=6.3950 alpha=60.00 beta=60.00 gamma=60.00
With the nearest neighbours (Å) after each atom.
Fractional positions:
1 H 0.0000 0.0000 0.0000  8 Rb 3.92
2 Rb 0.2500 0.2500 0.2500  4 Zr 3.92, 4 H 3.92
3 Rb 0.7500 0.7500 0.7500  4 Zr 3.92, 4 H 3.92
4 Zr 0.5000 0.5000 0.5000  8 Rb 3.92

Properties
Density of states at the Fermi level   0.11 states/eV/f.u.
Symmetry   Fm-3m

=====

--- B ---
DFT (PBE-GGA) results for an optimized crystal structure of Rb2ZrH.

Unit cell a=13.3134 b=13.3134 c=9.6229 alpha=46.23 beta=46.23 gamma=90.00
With the nearest neighbours (Å) after each atom.
Fractional positions:
1 H 0.5000 0.5000 0.0000  2 Zr 1.99
2 H 0.2500 0.7500 0.5000  2 Zr 1.99
3 Rb 0.4530 0.1250 0.2500  2 H 3.52, 2 Zr 3.79
4 Rb 0.2970 0.6250 0.2500  2 H 3.52, 2 Zr 3.79
5 Rb 0.3750 0.5470 0.7500  2 H 3.52, 2 Zr 3.79
6 Rb 0.8750 0.7030 0.7500  2 H 3.52, 2 Zr 3.79
7 Zr 0.0000 0.0000 0.0000  2 H 1.99
8 Zr 0.7500 0.2500 0.5000  2 H 1.99

Properties
Density of states at the Fermi level   3.45 states/eV/f.u.
Symmetry   I-42d

=====

What is the stability order? It is B, A, from most stable to least stable.